Entry 1:
Ho3TiIn3S8 | GGA-PBE | relaxed

## Properties
Volume = 1153.9 Å³/cell
M_tot = 0.000 μB/atom
Uncorrected formation energy = -20.5 eV/f.u.

The structure in CIF format:
```
data_Ho3TiIn3S8
_cell_length_a 7.7199
_cell_length_b 7.7199
_cell_length_c 22.3586
_cell_angle_alpha 90.00
_cell_angle_beta 90.00
_cell_angle_gamma 120.00
_symmetry_space_group_name_H-M 'R -3 m'
_symmetry_Int_Tables_number 166
_symmetry_space_group_name_Hall '-R 3 2"'
loop_
_atom_site_label
_atom_site_type_symbol
_atom_site_fract_x
_atom_site_fract_y
_atom_site_fract_z
Ho1 Ho 0.0000 0.5000 0.0000
Ti1 Ti 0.0000 0.0000 0.0000
In1 In 0.0000 0.5000 0.5000
S1 S 0.0000 0.0000 0.2653
S2 S 0.0276 0.5138 0.7311
```

=====

Entry 2:
NpMnSiTc | GGA-PBE | relaxed

## Properties
Volume = 246.3 Å³/cell
M_tot = 0.382 μB/atom
Uncorrected formation energy = -0.4 eV/f.u.

The structure in CIF format:
```
data_NpMnSiTc
_cell_length_a 6.2680
_cell_length_b 6.2680
_cell_length_c 6.2680
_cell_angle_alpha 90.00
_cell_angle_beta 90.00
_cell_angle_gamma 90.00
_symmetry_space_group_name_H-M 'F -4 3 m'
_symmetry_Int_Tables_number 216
_symmetry_space_group_name_Hall 'F -4 2 3'
loop_
_atom_site_label
_atom_site_type_symbol
_atom_site_fract_x
_atom_site_fract_y
_atom_site_fract_z
Np1 Np 0.0000 0.0000 0.0000
Mn1 Mn 0.2500 0.2500 0.2500
Si1 Si 0.0000 0.0000 0.5000
Tc1 Tc 0.2500 0.2500 0.7500
```

=====

Entry 3:
SrMnMo | GGA-PBE | relaxed

## Properties
Formation enthalpy at 0 K = 0.7402 eV per atom
Volume = 71.4 Å³/cell
Energy above the lowest structure with this stoichiometry = 115 meV per atom
M_tot = 0.141 μB/atom

The structure in CIF format:
```
data_SrMnMo
_cell_length_a 3.9161
_cell_length_b 3.9161
_cell_length_c 5.3783
_cell_angle_alpha 90.00
_cell_angle_beta 90.00
_cell_angle_gamma 120.00
_symmetry_space_group_name_H-M 'P 3 m 1'
_symmetry_Int_Tables_number 156
_symmetry_space_group_name_Hall 'P 3 -2"'
loop_
_atom_site_label
_atom_site_type_symbol
_atom_site_fract_x
_atom_site_fract_y
_atom_site_fract_z
Sr1 Sr 0.0000 0.0000 0.0000
Mn1 Mn 0.6667 0.3333 0.4982
Mo1 Mo 0.3333 0.6667 0.5008
```

=====

Entry 4:
Ac2EuRh | GGA-PBE | relaxed

## Properties
Formation enthalpy at 0 K = -0.3944 eV per atom
Volume = 475.4 Å³/cell
Energy above the lowest structure with this stoichiometry = 0 meV per atom
M_tot = 1.991 μB/atom

The structure in CIF format:
```
data_Ac2EuRh
_cell_length_a 4.2544
_cell_length_b 4.2544
_cell_length_c 30.3305
_cell_angle_alpha 90.00
_cell_angle_beta 90.00
_cell_angle_gamma 120.00
_symmetry_space_group_name_H-M 'R -3 m'
_symmetry_Int_Tables_number 166
_symmetry_space_group_name_Hall '-R 3 2"'
loop_
_atom_site_label
_atom_site_type_symbol
_atom_site_fract_x
_atom_site_fract_y
_atom_site_fract_z
Ac1 Ac 0.0000 0.0000 0.2214
Eu1 Eu 0.0000 0.0000 0.0000
Rh1 Rh 0.0000 0.0000 0.5000
```

=====

Entry 5:
Ca3Sb2H | GGA-PBE | relaxed

## Properties
Volume = 335.2 Å³/cell
Energy above the lowest structure with this stoichiometry = 76 meV per atom
M_tot = 0.000 μB/atom

The structure in CIF format:
```
data_Ca3Sb2H
_cell_length_a 3.9266
_cell_length_b 5.0370
_cell_length_c 16.9485
_cell_angle_alpha 90.00
_cell_angle_beta 90.00
_cell_angle_gamma 90.00
_symmetry_space_group_name_H-M 'I m m m'
_symmetry_Int_Tables_number 71
_symmetry_space_group_name_Hall '-I 2 2'
loop_
_atom_site_label
_atom_site_type_symbol
_atom_site_fract_x
_atom_site_fract_y
_atom_site_fract_z
Ca1 Ca 0.0000 0.0000 0.0000
Ca2 Ca 0.0000 0.5000 0.1603
Sb1 Sb 0.0000 0.5000 0.3505
H1 H 0.0000 0.5000 0.0000
```

=====

Entry 6:
Mg2Be2TeO6 | GGA-PBE | relaxed

## Properties
Volume = 122.3 Å³/cell
M_tot = 0.000 μB/atom
Uncorrected formation energy = -21.6 eV/f.u.

The structure in CIF format:
```
data_Mg2Be2TeO6
_cell_length_a 5.1374
_cell_length_b 5.1374
_cell_length_c 5.3495
_cell_angle_alpha 90.00
_cell_angle_beta 90.00
_cell_angle_gamma 120.00
_symmetry_space_group_name_H-M 'P -3'
_symmetry_Int_Tables_number 147
_symmetry_space_group_name_Hall '-P 3'
loop_
_atom_site_label
_atom_site_type_symbol
_atom_site_fract_x
_atom_site_fract_y
_atom_site_fract_z
Mg1 Mg 0.3333 0.6667 0.3908
Be1 Be 0.3333 0.6667 0.8341
Te1 Te 0.0000 0.0000 0.0000
O1 O 0.0386 0.6654 0.7625
```

=====

Entry 7:
ScCdMo | GGA-PBE | relaxed

## Properties
Formation enthalpy at 0 K = 0.1428 eV per atom
Volume = 114.8 Å³/cell
Energy above the lowest structure with this stoichiometry = 1 meV per atom
M_tot = 0.000 μB/atom

The structure in CIF format:
```
data_ScCdMo
_cell_length_a 2.8718
_cell_length_b 2.8718
_cell_length_c 13.9208
_cell_angle_alpha 90.00
_cell_angle_beta 90.00
_cell_angle_gamma 90.00
_symmetry_space_group_name_H-M 'I 4 m m'
_symmetry_Int_Tables_number 107
_symmetry_space_group_name_Hall 'I 4 -2'
loop_
_atom_site_label
_atom_site_type_symbol
_atom_site_fract_x
_atom_site_fract_y
_atom_site_fract_z
Sc1 Sc 0.0000 0.0000 0.0000
Cd1 Cd 0.0000 0.0000 0.6786
Mo1 Mo 0.0000 0.0000 0.3426
```

=====

Entry 8:
Fe2SbBr | GGA-PBE | relaxed

## Properties
Volume = 333.8 Å³/cell
Energy above the lowest structure with this stoichiometry = 646 meV per atom
M_tot = 0.000 μB/atom
Uncorrected formation energy = 2.9 eV/f.u.

The structure in CIF format:
```
data_Fe2SbBr
_cell_length_a 5.5161
_cell_length_b 5.5161
_cell_length_c 10.9694
_cell_angle_alpha 90.00
_cell_angle_beta 90.00
_cell_angle_gamma 90.00
_symmetry_space_group_name_H-M 'I -4 2 d'
_symmetry_Int_Tables_number 122
_symmetry_space_group_name_Hall 'I -4 2bw'
loop_
_atom_site_label
_atom_site_type_symbol
_atom_site_fract_x
_atom_site_fract_y
_atom_site_fract_z
Fe1 Fe 0.2194 0.2500 0.1250
Sb1 Sb 0.0000 0.0000 0.5000
Br1 Br 0.0000 0.0000 0.0000
```